Dy3Zn2Pd4 | PBE | optimized geometry

## Properties
energy of formation from the pure elements: -6.85 eV per formula unit

Geometry as CIF:
```
data_Dy3Zn2Pd4
_chemical_formula_sum 'Dy6 Zn4 Pd8'
_space_group_name_H-M_alt 'C 1 2/m 1'
_space_group_IT_number 12
_space_group_name_Hall '-C 2y'
_cell_length_a 10.951
_cell_length_b 4.265
_cell_length_c 8.657
_cell_angle_alpha 90.00
_cell_angle_beta 116.24
_cell_angle_gamma 90.00
loop_
_atom_site_label
_atom_site_type_symbol
_atom_site_fract_x
_atom_site_fract_y
_atom_site_fract_z
_atom_site_occupancy
Dy1 Dy 0.000 0.000 0.000 1
Dy2 Dy 0.142 0.500 0.693 1
Zn1 Zn 0.159 0.500 0.327 1
Pd1 Pd 0.078 0.000 0.410 1
Pd2 Pd 0.211 0.500 0.068 1
```

***

SrLa2Sb | PBE | optimized geometry

## Properties
formation energy from raw total energies: -465 meV/atom

Geometry as CIF:
```
data_SrLa2Sb
_chemical_formula_sum 'Sr1 La2 Sb1'
_space_group_name_H-M_alt 'P 4/m m m'
_space_group_IT_number 123
_space_group_name_Hall '-P 4 2'
_cell_length_a 5.048
_cell_length_b 5.048
_cell_length_c 5.178
_cell_angle_alpha 90.00
_cell_angle_beta 90.00
_cell_angle_gamma 90.00
loop_
_atom_site_label
_atom_site_type_symbol
_atom_site_fract_x
_atom_site_fract_y
_atom_site_fract_z
_atom_site_occupancy
Sr1 Sr 0.000 0.000 0.000 1
La1 La 0.000 0.500 0.500 1
Sb1 Sb 0.500 0.500 0.000 1
```

***

MnSi | PBE | optimized geometry

## Properties
formation energy from raw total energies: -191 meV/atom

Geometry as CIF:
```
data_MnSi
_chemical_formula_sum 'Mn3 Si3'
_space_group_name_H-M_alt 'R -3 m'
_space_group_IT_number 166
_space_group_name_Hall '-R 3 2"'
_cell_length_a 2.6424
_cell_length_b 2.6424
_cell_length_c 11.5504
_cell_angle_alpha 90.00
_cell_angle_beta 90.00
_cell_angle_gamma 120.00
loop_
_atom_site_label
_atom_site_type_symbol
_atom_site_fract_x
_atom_site_fract_y
_atom_site_fract_z
_atom_site_occupancy
Mn1 Mn 0.0000 0.0000 0.0000 1
Si1 Si 0.0000 0.0000 0.5000 1
```

***

AgTe8P5 | PBE | optimized geometry

## Properties
formation energy from raw total energies: 297 meV/atom

Geometry as CIF:
```
data_AgTe8P5
_chemical_formula_sum 'Ag1 Te8 P5'
_space_group_name_H-M_alt 'P -4 2 m'
_space_group_IT_number 111
_space_group_name_Hall 'P -4 2'
_cell_length_a 6.610
_cell_length_b 6.610
_cell_length_c 9.386
_cell_angle_alpha 90.00
_cell_angle_beta 90.00
_cell_angle_gamma 90.00
loop_
_atom_site_label
_atom_site_type_symbol
_atom_site_fract_x
_atom_site_fract_y
_atom_site_fract_z
_atom_site_occupancy
Ag1 Ag 0.000 0.000 0.000 1
Te1 Te 0.223 0.223 0.607 1
Te2 Te 0.268 0.268 0.137 1
P1 P 0.000 0.500 0.265 1
P2 P 0.500 0.500 0.500 1
```

***

Tb3TmTh2Sb6 | PBE | optimized geometry

## Properties
formation energy from raw total energies: -1059 meV/atom

Geometry as CIF:
```
data_Tb3TmTh2Sb6
_chemical_formula_sum 'Tb6 Tm2 Th4 Sb12'
_space_group_name_H-M_alt 'C 1 2/m 1'
_space_group_IT_number 12
_space_group_name_Hall '-C 2y'
_cell_length_a 19.297
_cell_length_b 4.437
_cell_length_c 8.847
_cell_angle_alpha 90.00
_cell_angle_beta 103.27
_cell_angle_gamma 90.00
loop_
_atom_site_label
_atom_site_type_symbol
_atom_site_fract_x
_atom_site_fract_y
_atom_site_fract_z
_atom_site_occupancy
Tb1 Tb 0.000 0.000 0.000 1
Tb2 Tb 0.168 0.500 0.334 1
Tm1 Tm 0.000 0.000 0.500 1
Th1 Th 0.165 0.500 0.831 1
Sb1 Sb 0.003 0.500 0.255 1
Sb2 Sb 0.165 0.000 0.577 1
Sb3 Sb 0.166 0.000 0.088 1
```

***

MoPdS2 | PBE | optimized geometry

## Properties
formation energy from raw total energies: -437 meV/atom

Geometry as CIF:
```
data_MoPdS2
_chemical_formula_sum 'Mo3 Pd3 S6'
_space_group_name_H-M_alt 'R -3 m'
_space_group_IT_number 166
_space_group_name_Hall '-R 3 2"'
_cell_length_a 3.1504
_cell_length_b 3.1504
_cell_length_c 23.4770
_cell_angle_alpha 90.00
_cell_angle_beta 90.00
_cell_angle_gamma 120.00
loop_
_atom_site_label
_atom_site_type_symbol
_atom_site_fract_x
_atom_site_fract_y
_atom_site_fract_z
_atom_site_occupancy
Mo1 Mo 0.0000 0.0000 0.0000 1
Pd1 Pd 0.0000 0.0000 0.5000 1
S1 S 0.0000 0.0000 0.4020 1
```

***

Total moment: 0.0 0.0 3.7 0.0 0.0 0.0 (Bohr magnetons per cell)
Calculated total energy: -4.886 -4.380 -7.487 -3.634 -5.887 -6.506 (eV/atom)